# Ba2PrW3O12

A geometry-optimized Ba2PrW3O12 structure (GGA+U, Alexandria).

Unit cell a=7.126 b=7.126 c=7.126 alpha=64.08 beta=64.08 gamma=64.08
Each line ends with the local moment (μB).
Atoms (fractional coordinates):
O 0.415 0.873 0.873  -0.01
O 0.095 0.722 0.722  -0.02
O 0.905 0.278 0.278  -0.02
O 0.873 0.415 0.873  -0.01
O 0.278 0.905 0.278  -0.02
O 0.585 0.127 0.127  -0.01
O 0.127 0.585 0.127  -0.01
O 0.722 0.722 0.095  -0.02
O 0.278 0.278 0.905  -0.02
O 0.127 0.127 0.585  -0.01
O 0.722 0.095 0.722  -0.02
O 0.873 0.873 0.415  -0.01
W 0.000 0.500 0.000  0.37
W 0.500 0.000 0.000  0.37
W 0.000 0.000 0.500  0.37
Ba 0.622 0.622 0.622  0.00
Ba 0.378 0.378 0.378  0.00
Pr 0.000 0.000 0.000  0.00

Properties
- Total magnetic moment: 1.00 μB per cell
- Final energy: -7.421 eV/atom
- Volume: 15.49 A^3/atom